[1]
Below is crystalline LaCd2Sb at its relaxed geometry, with properties calculated at the PBEsol level.

Structure (POSCAR):
```
LaCd2Sb
1.0
4.516 0.000 0.000
0.000 4.516 0.000
0.000 0.000 5.031
La Cd Sb
1 2 1
Direct
0.000 0.000 0.000 La
0.000 0.500 0.500 Cd
0.500 0.000 0.500 Cd
0.500 0.500 0.000 Sb
```

- N(E_F) (states/eV per cell) = 1.89
- theoretical density (g/cm3) = 7.86
- energy relative to the elements, uncorrected (meV per atom) = -550
- space group = No. 123

[2]
Below is crystalline Te4Mo3S2 at its relaxed geometry, with properties calculated at the PBEsol level.

Structure (POSCAR):
```
Te4Mo3S2
1.0
3.361 0.000 0.000
-1.680 2.911 0.000
0.000 0.000 21.160
Te Mo S
4 3 2
Direct
0.000 0.000 0.000 Te
0.000 0.000 0.176 Te
0.333 0.667 0.337 Te
0.333 0.667 0.513 Te
0.000 0.000 0.425 Mo
0.333 0.667 0.088 Mo
0.333 0.667 0.735 Mo
0.000 0.000 0.665 S
0.000 0.000 0.805 S
```

- N(E_F) (states/eV per cell) = 1.61
- theoretical density (g/cm3) = 6.92
- energy relative to the elements, uncorrected (meV per atom) = -440
- space group = No. 156

[3]
Below is crystalline MnBe3Co at its relaxed geometry, with properties calculated at the PBEsol level.

Structure (POSCAR):
```
MnBe3Co
1.0
3.829 0.000 0.000
0.000 3.829 0.000
0.000 0.000 3.829
Mn Be Co
1 3 1
Direct
0.000 0.000 0.000 Mn
0.000 0.000 0.500 Be
0.000 0.500 0.000 Be
0.500 0.000 0.000 Be
0.500 0.500 0.500 Co
```

- N(E_F) (states/eV per cell) = 8.11
- theoretical density (g/cm3) = 4.17
- space group = No. 221
- formation enthalpy at 0 K (meV/atom) = 1204

[4]
Below is crystalline BaBe2P2O8 at its relaxed geometry, with properties calculated at the PBEsol level.

Structure (POSCAR):
```
BaBe2P2O8
1.0
5.063 0.000 0.000
-2.532 4.385 0.000
0.000 0.000 7.423
Ba Be P O
1 2 2 8
Direct
0.000 0.000 0.000 Ba
0.333 0.667 0.703 Be
0.667 0.333 0.297 Be
0.333 0.667 0.290 P
0.667 0.333 0.710 P
0.007 0.504 0.209 O
0.333 0.667 0.492 O
0.496 0.504 0.209 O
0.496 0.993 0.209 O
0.504 0.007 0.791 O
0.504 0.496 0.791 O
0.667 0.333 0.508 O
0.993 0.496 0.791 O
```

- N(E_F) (states/eV per cell) = 0.00
- theoretical density (g/cm3) = 3.48
- energy relative to the elements, uncorrected (meV per atom) = -2719
- space group = No. 164

[5]
Below is crystalline CaLaP2S at its relaxed geometry, with properties calculated at the PBEsol level.

Structure (POSCAR):
```
CaLaP2S
1.0
4.951 0.000 0.000
0.000 4.951 0.000
0.000 0.000 5.021
Ca La P S
1 1 2 1
Direct
0.000 0.000 0.000 Ca
0.500 0.500 0.500 La
0.000 0.500 0.000 P
0.500 0.000 0.000 P
0.000 0.000 0.500 S
```

- N(E_F) (states/eV per cell) = 4.15
- theoretical density (g/cm3) = 3.68
- energy relative to the elements, uncorrected (meV per atom) = -322
- space group = No. 123

[6]
Below is crystalline NaPO at its relaxed geometry, with properties calculated at the PBEsol level.

Structure (POSCAR):
```
NaPO
1.0
-3.633 4.277 1.356
3.633 -4.277 1.356
3.633 4.277 -1.356
Na P O
2 2 2
Direct
0.000 0.000 0.000 Na
0.500 0.000 0.500 Na
0.500 0.000 0.000 P
0.500 0.500 0.500 P
0.460 0.710 0.750 O
0.540 0.290 0.250 O
```

- N(E_F) (states/eV per cell) = 1.76
- theoretical density (g/cm3) = 2.76
- energy relative to the elements, uncorrected (meV per atom) = -641
- space group = No. 74